[1]
Below is a relaxed structure of Tl2CdIn3Hg6, with properties calculated at the GGA-PBE level.

POSCAR file:
```
Tl2CdIn3Hg6
1.0
4.301 0.000 0.000
0.000 4.301 0.000
0.000 0.000 20.856
In Tl Hg Cd
3 2 6 1
Cartesian
0.000 0.000 14.917
0.000 0.000 0.000
0.000 0.000 5.939
2.150 2.150 16.402
2.150 2.150 4.454
0.000 2.150 12.621
2.150 0.000 8.236
0.000 2.150 8.236
2.150 0.000 12.621
0.000 0.000 2.874
0.000 0.000 17.982
2.150 2.150 10.428
```

formation energy = 2.7 kcal/mol of atoms
mass density = 8.9 Mg/m³

***

[2]
Below is a relaxed structure of KPuBeO6, with properties calculated at the GGA-PBE level.

POSCAR file:
```
KPuBeO6
1.0
5.022 0.001 0.001
2.512 4.348 0.000
0.002 -0.001 6.165
Pu Be O K
1 1 6 1
Cartesian
5.023 2.898 3.083
2.513 1.450 3.083
1.003 1.610 2.009
3.125 0.064 2.011
1.898 0.062 4.156
1.619 2.673 4.154
3.405 2.674 2.011
4.020 1.610 4.156
7.534 4.347 6.166
```

mass density = 4.8 Mg/m³
E_form (uncorrected) = -1.750 eV per atom

***

[3]
Below is a relaxed structure of BiCl3F, with properties calculated at the GGA-PBE level.

POSCAR file:
```
BiCl3F
1.0
4.749 0.000 0.000
0.000 4.749 0.000
0.000 0.000 4.749
F Bi Cl
1 1 3
Cartesian
0.000 0.000 0.000
2.375 2.375 2.375
2.375 0.000 0.000
0.000 0.000 2.375
0.000 2.375 0.000
```

energy above the most stable polymorph in this dataset = 993 meV/atom
mass density = 5.2 Mg/m³
E_form (uncorrected) = 0.079 eV per atom

***

[4]
Below is a relaxed structure of ZnAsSe, with properties calculated at the GGA-PBE level.

POSCAR file:
```
ZnAsSe
1.0
7.634 -0.034 0.028
6.937 2.851 0.034
0.697 -0.541 2.834
As Se Zn
1 1 1
Cartesian
1.173 -0.426 2.739
4.851 0.464 2.004
9.942 1.697 0.987
```

mass density = 5.8 Mg/m³
E_form (uncorrected) = 0.237 eV per atom

***

[5]
Below is a relaxed structure of TbLuSiAu, with properties calculated at the GGA-PBE level.

POSCAR file:
```
TbLuSiAu
1.0
5.008 0.000 0.000
2.504 4.337 0.000
2.504 1.446 4.089
Si Au Lu Tb
1 1 1 1
Cartesian
7.512 4.337 3.067
2.504 1.446 1.022
5.008 2.892 2.045
0.000 0.000 0.000
```

mass density = 10.4 Mg/m³
E_form (uncorrected) = -0.651 eV per atom